Record 1
Material: LiPr6Er
Method: DFT, PBE
State: relaxed

Unit cell a=5.245 b=5.245 c=10.518 alpha=75.55 beta=75.55 gamma=90.03
Atoms (fractional coordinates):
Li 0.000 0.000 0.000
Pr 0.749 0.749 0.502
Pr 0.618 0.118 0.763
Pr 0.118 0.618 0.763
Pr 0.382 0.882 0.237
Pr 0.251 0.251 0.498
Pr 0.882 0.382 0.237
Er 0.500 0.500 0.000

Values from the calculation:
Energy of formation from the pure elements ... 8 kJ/mol of atoms
DOS at the Fermi energy ... 12.84 states/eV/cell


Record 2
Material: LiPrErPt
Method: DFT, PBE
State: relaxed

Unit cell a=5.070 b=5.070 c=5.070 alpha=60.00 beta=60.00 gamma=60.00
Atoms (fractional coordinates):
Pr 0.500 0.500 0.500
Li 0.750 0.750 0.750
Pt 0.250 0.250 0.250
Er 0.000 0.000 0.000

Values from the calculation:
Energy of formation from the pure elements ... -56 kJ/mol of atoms
DOS at the Fermi energy ... 3.59 states/eV/cell


Record 3
Material: LiPrErS3
Method: DFT, PBE
State: relaxed

Unit cell a=3.867 b=8.124 c=8.470 alpha=103.10 beta=90.00 gamma=90.00
Atoms (fractional coordinates):
Li 0.250 0.087 0.585
Li 0.750 0.913 0.415
Pr 0.250 0.190 0.224
Pr 0.750 0.810 0.776
Er 0.250 0.665 0.164
Er 0.750 0.335 0.836
S 0.750 0.899 0.133
S 0.250 0.101 0.867
S 0.250 0.784 0.497
S 0.750 0.216 0.503
S 0.750 0.435 0.169
S 0.250 0.565 0.831

Values from the calculation:
Uncorrected formation energy ... -1828 meV per atom
DOS at the Fermi energy ... 3.67 states/eV/cell


Record 4
Material: LiPr2ErS5
Method: DFT, PBE
State: relaxed

Unit cell a=3.997 b=8.510 c=11.937 alpha=90.00 beta=90.00 gamma=103.58
Atoms (fractional coordinates):
Li 0.515 0.030 0.981
Li 0.485 0.970 0.481
Pr 0.875 0.750 0.798
Pr 0.108 0.216 0.686
Pr 0.125 0.250 0.298
Pr 0.892 0.784 0.186
Er 0.802 0.604 0.503
Er 0.198 0.396 0.003
S 0.362 0.724 0.998
S 0.693 0.385 0.847
S 0.500 0.001 0.784
S 0.286 0.573 0.658
S 0.952 0.904 0.568
S 0.638 0.276 0.498
S 0.307 0.615 0.347
S 0.500 0.999 0.284
S 0.714 0.427 0.158
S 0.048 0.096 0.068

Values from the calculation:
Uncorrected formation energy ... -1928 meV per atom


Record 5
Material: LiPr3Er3S8
Method: DFT, PBE
State: relaxed

Unit cell a=7.868 b=7.868 c=7.963 alpha=119.61 beta=90.00 gamma=120.00
Atoms (fractional coordinates):
Li 0.000 0.000 0.500
Pr 0.000 0.000 0.000
Pr 0.000 0.500 0.000
Pr 0.500 0.500 0.000
Er 0.500 0.000 0.500
Er 0.500 0.500 0.500
Er 0.000 0.500 0.500
S 0.256 0.512 0.269
S 0.744 0.488 0.731
S 0.756 0.512 0.269
S 0.244 0.488 0.731
S 0.756 0.013 0.269
S 0.244 0.987 0.731
S 0.257 0.013 0.269
S 0.743 0.987 0.731

Values from the calculation:
Uncorrected formation energy ... -1975 meV per atom
DOS at the Fermi energy ... 4.59 states/eV/cell


Record 6
Material: LiPr4Er3S8
Method: DFT, PBE
State: relaxed

Unit cell a=7.882 b=8.035 c=7.883 alpha=119.38 beta=120.00 gamma=90.00
Atoms (fractional coordinates):
Li 0.000 0.500 0.000
Pr 0.500 0.000 0.000
Pr 0.500 0.000 0.500
Pr 0.000 0.000 0.000
Pr 0.000 0.000 0.500
Er 0.500 0.500 0.000
Er 0.500 0.500 0.500
Er 0.000 0.500 0.500
S 0.240 0.725 0.985
S 0.240 0.725 0.481
S 0.257 0.272 0.515
S 0.745 0.725 0.985
S 0.255 0.275 0.015
S 0.743 0.728 0.485
S 0.760 0.275 0.519
S 0.760 0.275 0.015

Values from the calculation:
Uncorrected formation energy ... -1956 meV per atom
DOS at the Fermi energy ... 7.72 states/eV/cell


Record 7
Material: LiPrErSe3
Method: DFT, PBE
State: relaxed

Unit cell a=4.027 b=8.447 c=8.862 alpha=103.35 beta=90.00 gamma=90.00
Atoms (fractional coordinates):
Li 0.250 0.086 0.585
Li 0.750 0.914 0.415
Pr 0.250 0.191 0.228
Pr 0.750 0.809 0.772
Er 0.250 0.667 0.162
Er 0.750 0.333 0.838
Se 0.750 0.902 0.130
Se 0.250 0.098 0.870
Se 0.250 0.777 0.496
Se 0.750 0.223 0.504
Se 0.750 0.436 0.172
Se 0.250 0.564 0.828

Values from the calculation:
Uncorrected formation energy ... -1667 meV per atom
DOS at the Fermi energy ... 4.00 states/eV/cell


Record 8
Material: LiPr2Er3Se6
Method: DFT, PBE
State: relaxed

Unit cell a=4.090 b=8.284 c=9.242 alpha=103.58 beta=102.78 gamma=90.00
Atoms (fractional coordinates):
Li 0.500 0.000 0.000
Pr 0.830 0.658 0.660
Pr 0.170 0.342 0.340
Er 0.500 0.500 0.000
Er 0.832 0.169 0.664
Er 0.168 0.831 0.336
Se 0.335 0.931 0.670
Se 0.660 0.595 0.320
Se 0.665 0.069 0.330
Se 0.996 0.247 0.993
Se 0.004 0.753 0.007
Se 0.340 0.405 0.680

Values from the calculation:
Uncorrected formation energy ... -1756 meV per atom
DOS at the Fermi energy ... 3.20 states/eV/cell